# TaAsPdSe2 | Alexandria via LeMat-Bulk | GGA-PBEsol | relaxed
data_TaAsPdSe2
_chemical_formula_sum 'Ta1 As1 Pd1 Se2'
_symmetry_space_group_name_H-M 'P 4/m m m'
_symmetry_Int_Tables_number 123
_symmetry_space_group_name_Hall '-P 4 2'
_cell_length_a 4.7416
_cell_length_b 4.7416
_cell_length_c 4.9852
_cell_angle_alpha 90.00
_cell_angle_beta 90.00
_cell_angle_gamma 90.00
loop_
_atom_site_label
_atom_site_type_symbol
_atom_site_fract_x
_atom_site_fract_y
_atom_site_fract_z
_atom_site_occupancy
Ta1 Ta 0.0000 0.0000 0.0000 1
As1 As 0.5000 0.5000 0.0000 1
Pd1 Pd 0.0000 0.0000 0.5000 1
Se1 Se 0.0000 0.5000 0.5000 1
# Relative energy among the computed polymorphs = 14.0 kJ/mol of atoms
# E_form (uncorrected) = 1.00 eV/atom


# Li2Ti3VO8 | Alexandria via LeMat-Bulk | GGA-PBEsol | relaxed
data_Li2Ti3VO8
_chemical_formula_sum 'Li4 Ti6 V2 O16'
_symmetry_space_group_name_H-M 'P 63 m c'
_symmetry_Int_Tables_number 186
_symmetry_space_group_name_Hall 'P 6c -2c'
_cell_length_a 5.8528
_cell_length_b 5.8528
_cell_length_c 9.4842
_cell_angle_alpha 90.00
_cell_angle_beta 90.00
_cell_angle_gamma 120.00
loop_
_atom_site_label
_atom_site_type_symbol
_atom_site_fract_x
_atom_site_fract_y
_atom_site_fract_z
_atom_site_occupancy
Li1 Li 0.0000 0.0000 0.0000 1
Li2 Li 0.3333 0.6667 0.1026 1
Ti1 Ti 0.1691 0.3382 0.7824 1
V1 V 0.3333 0.6667 0.5125 1
O1 O 0.0000 0.0000 0.1841 1
O2 O 0.0395 0.5198 0.6578 1
O3 O 0.1648 0.3297 0.3960 1
O4 O 0.3333 0.6667 0.8947 1
# Relative energy among the computed polymorphs = 4.6 kJ/mol of atoms
# E_form (uncorrected) = -2.72 eV/atom


# Y2MnPt | Alexandria via LeMat-Bulk | GGA-PBEsol | relaxed
data_Y2MnPt
_chemical_formula_sum 'Y8 Mn4 Pt4'
_symmetry_space_group_name_H-M 'F -4 3 m'
_symmetry_Int_Tables_number 216
_symmetry_space_group_name_Hall 'F -4 2 3'
_cell_length_a 6.7536
_cell_length_b 6.7536
_cell_length_c 6.7536
_cell_angle_alpha 90.00
_cell_angle_beta 90.00
_cell_angle_gamma 90.00
loop_
_atom_site_label
_atom_site_type_symbol
_atom_site_fract_x
_atom_site_fract_y
_atom_site_fract_z
_atom_site_occupancy
Y1 Y 0.0000 0.0000 0.0000 1
Y2 Y 0.2500 0.2500 0.2500 1
Mn1 Mn 0.2500 0.2500 0.7500 1
Pt1 Pt 0.0000 0.0000 0.5000 1
# Formation enthalpy at 0 K = -192.9 meV/atom


# AgPt2 | Alexandria via LeMat-Bulk | GGA-PBEsol | relaxed
data_AgPt2
_chemical_formula_sum 'Ag2 Pt4'
_symmetry_space_group_name_H-M 'P 63/m m c'
_symmetry_Int_Tables_number 194
_symmetry_space_group_name_Hall '-P 6c 2c'
_cell_length_a 4.5085
_cell_length_b 4.5085
_cell_length_c 5.3348
_cell_angle_alpha 90.00
_cell_angle_beta 90.00
_cell_angle_gamma 120.00
loop_
_atom_site_label
_atom_site_type_symbol
_atom_site_fract_x
_atom_site_fract_y
_atom_site_fract_z
_atom_site_occupancy
Ag1 Ag 0.3333 0.6667 0.2500 1
Pt1 Pt 0.0000 0.0000 0.0000 1
Pt2 Pt 0.3333 0.6667 0.7500 1
# Relative energy among the computed polymorphs = 24.9 kJ/mol of atoms
# Formation enthalpy at 0 K = 254.9 meV/atom


# ZrGeBiRu2 | Alexandria via LeMat-Bulk | GGA-PBEsol | relaxed
data_ZrGeBiRu2
_chemical_formula_sum 'Zr1 Ge1 Bi1 Ru2'
_symmetry_space_group_name_H-M 'P 4/m m m'
_symmetry_Int_Tables_number 123
_symmetry_space_group_name_Hall '-P 4 2'
_cell_length_a 4.5143
_cell_length_b 4.5143
_cell_length_c 4.9981
_cell_angle_alpha 90.00
_cell_angle_beta 90.00
_cell_angle_gamma 90.00
loop_
_atom_site_label
_atom_site_type_symbol
_atom_site_fract_x
_atom_site_fract_y
_atom_site_fract_z
_atom_site_occupancy
Zr1 Zr 0.0000 0.0000 0.0000 1
Ge1 Ge 0.0000 0.0000 0.5000 1
Bi1 Bi 0.5000 0.5000 0.0000 1
Ru1 Ru 0.0000 0.5000 0.5000 1
# Formation enthalpy at 0 K = 580.8 meV/atom


# ZrCu2Si | Alexandria via LeMat-Bulk | GGA-PBEsol | relaxed
data_ZrCu2Si
_chemical_formula_sum 'Zr2 Cu4 Si2'
_symmetry_space_group_name_H-M 'I m m 2'
_symmetry_Int_Tables_number 44
_symmetry_space_group_name_Hall 'I 2 -2'
_cell_length_a 2.9727
_cell_length_b 4.4645
_cell_length_c 8.7830
_cell_angle_alpha 90.00
_cell_angle_beta 90.00
_cell_angle_gamma 90.00
loop_
_atom_site_label
_atom_site_type_symbol
_atom_site_fract_x
_atom_site_fract_y
_atom_site_fract_z
_atom_site_occupancy
Zr1 Zr 0.0000 0.0000 0.0000 1
Cu1 Cu 0.0000 0.0000 0.4707 1
Cu2 Cu 0.0000 0.5000 0.2163 1
Si1 Si 0.0000 0.5000 0.7607 1
# E_form (uncorrected) = -0.10 eV/atom


Number 1: total moment 0.2794 μB/atom. Number 2: total moment 0.1970 μB/atom. Number 3: total moment 1.0044 μB/atom. Number 4: total moment 0.0004 μB/atom. Number 5: total moment 0.1605 μB/atom. Number 6: total moment 0.0000 μB/atom.